(one)
Tm3Mg2Ag2 after structural relaxation. Source: the Alexandria database, functional GGA-PBE.

Values from the calculation:
- space group = Cmmm
- crystal system = orthorhombic

Cell lengths 3.5127, 3.4609, 14.5826 Å; angles 90.00, 83.08, 90.00 degrees
Closest atoms and distances in Å follow each position.
Positions (direct):
Mg (0.7062, 0.5000, 0.5876)  2 Mg 3.08, 4 Tm 3.36
Mg (0.2938, 0.5000, 0.4124)  2 Mg 3.08, 4 Tm 3.36
Tm (0.0000, 0.0000, 0.0000)  8 Ag 3.09
Tm (0.1275, 0.0000, 0.7450)  4 Ag 3.07, 4 Mg 3.36
Tm (0.8725, 0.0000, 0.2550)  4 Ag 3.07, 4 Mg 3.36
Ag (0.4357, 0.5000, 0.1287)  8 Tm 3.07-3.09
Ag (0.5643, 0.5000, 0.8713)  8 Tm 3.07-3.09



(two)
Tm3Mg2Ag2 after structural relaxation. Source: the Alexandria database, functional GGA-PBE.

Values from the calculation:
- space group = C2/m
- crystal system = monoclinic

Cell lengths 3.4743, 6.7026, 8.4852 Å; angles 113.65, 90.00, 105.02 degrees
Closest atoms and distances in Å follow each position.
Positions (direct):
Tm (0.3861, 0.7723, 0.5531)  3 Ag 2.94-3.08
Tm (0.6139, 0.2277, 0.4469)  3 Ag 2.94-3.08
Tm (0.5000, 0.0000, 0.0000)  4 Ag 2.94
Mg (0.1422, 0.2844, 0.8182)  3 Ag 2.89-3.16
Mg (0.8578, 0.7156, 0.1818)  3 Ag 2.89-3.16
Ag (0.8103, 0.6205, 0.7853)  3 Mg 2.89-3.16, 5 Tm 2.94-3.08
Ag (0.1897, 0.3795, 0.2147)  3 Mg 2.89-3.16, 5 Tm 2.94-3.08



Going by the energies, (one) is most stable and the next is 14 meV per atom up.



(one)
Tm2MgAg3 after structural relaxation. Source: the Alexandria database, functional GGA-PBE.

Values from the calculation:
- space group = P4/mmm
- crystal system = tetragonal

Cell lengths 3.5143, 3.5143, 10.5510 Å; angles 90.00, 90.00, 90.00 degrees
Closest atoms and distances in Å follow each position.
Positions (direct):
Ag (0.0000, 0.0000, 0.3468)  4 Mg 2.96, 4 Tm 3.08, 1 Ag 3.23
Ag (0.0000, 0.0000, 0.6532)  4 Mg 2.96, 4 Tm 3.08, 1 Ag 3.23
Ag (0.0000, 0.0000, 0.0000)  8 Tm 3.09
Mg (0.5000, 0.5000, 0.5000)  8 Ag 2.96
Tm (0.5000, 0.5000, 0.8262)  8 Ag 3.08-3.09, 1 Mg 3.44
Tm (0.5000, 0.5000, 0.1738)  8 Ag 3.08-3.09, 1 Mg 3.44



(two)
Tm2MgAg3 after structural relaxation. Source: the Alexandria database, functional GGA-PBE.

Values from the calculation:
- space group = P-3m1
- crystal system = trigonal

Cell lengths 4.9751, 4.9751, 12.1389 Å; angles 90.00, 90.00, 120.00 degrees
Closest atoms and distances in Å follow each position.
Positions (direct):
Ag (0.0000, 0.0000, 0.2534)  5 Tm 2.99-3.08, 3 Mg 3.04
Ag (0.0000, 0.0000, 0.7466)  5 Tm 2.99-3.08, 3 Mg 3.04
Ag (0.6667, 0.3333, 0.0835)  7 Tm 3.05-3.14, 1 Mg 3.05
Ag (0.6667, 0.3333, 0.5789)  4 Mg 2.96-3.06, 4 Tm 2.98-3.03
Ag (0.3333, 0.6667, 0.9165)  7 Tm 3.05-3.14, 1 Mg 3.05
Ag (0.3333, 0.6667, 0.4211)  4 Mg 2.96-3.06, 4 Tm 2.98-3.03
Mg (0.3333, 0.6667, 0.6651)  8 Ag 2.96-3.06
Mg (0.6667, 0.3333, 0.3349)  8 Ag 2.96-3.06
Tm (0.6667, 0.3333, 0.8245)  8 Ag 2.98-3.14
Tm (0.3333, 0.6667, 0.1755)  8 Ag 2.98-3.14
Tm (0.0000, 0.0000, 0.5000)  8 Ag 2.99-3.03
Tm (0.0000, 0.0000, 0.0000)  8 Ag 3.05-3.08



Going by the energies, (two) is most stable and the next is 7 meV per atom up.



(one)
TmMgAg6 after structural relaxation. Source: the Alexandria database, functional GGA-PBE.

Values from the calculation:
- space group = C2/m
- crystal system = monoclinic

Cell lengths 4.1312, 5.2236, 8.0003 Å; angles 77.44, 75.04, 66.71 degrees
Closest atoms and distances in Å follow each position.
Positions (direct):
Ag (0.2470, 0.3754, 0.1306)  8 Ag 2.96-3.13, 1 Mg 2.99, 3 Tm 3.00-3.04
Ag (0.5008, 0.7396, 0.2589)  2 Mg 2.92, 8 Ag 2.96-3.13, 2 Tm 3.03
Ag (0.7530, 0.6246, 0.8694)  8 Ag 2.96-3.13, 1 Mg 2.99, 3 Tm 3.00-3.04
Ag (0.2508, 0.8775, 0.6208)  8 Ag 2.93-2.99, 3 Mg 2.98-3.01, 1 Tm 3.06
Ag (0.4992, 0.2604, 0.7411)  2 Mg 2.92, 8 Ag 2.96-3.13, 2 Tm 3.03
Ag (0.7492, 0.1225, 0.3792)  8 Ag 2.93-2.99, 3 Mg 2.98-3.01, 1 Tm 3.06
Tm (0.0000, 0.0000, 0.0000)  12 Ag 3.00-3.06
Mg (0.0000, 0.5000, 0.5000)  12 Ag 2.92-3.01



(two)
TmMgAg6 after structural relaxation. Source: the Alexandria database, functional GGA-PBE.

Values from the calculation:
- space group = P4/mmm
- crystal system = tetragonal

Cell lengths 4.2532, 4.2532, 8.5050 Å; angles 90.00, 90.00, 90.00 degrees
Closest atoms and distances in Å follow each position.
Positions (direct):
Ag (0.5000, 0.0000, 0.7412)  2 Mg 2.95, 8 Ag 2.95-3.06, 2 Tm 3.06
Ag (0.5000, 0.0000, 0.2588)  2 Mg 2.95, 8 Ag 2.95-3.06, 2 Tm 3.06
Ag (0.0000, 0.5000, 0.2588)  2 Mg 2.95, 8 Ag 2.95-3.06, 2 Tm 3.06
Ag (0.5000, 0.5000, 0.0000)  4 Tm 3.01, 8 Ag 3.06
Ag (0.5000, 0.5000, 0.5000)  8 Ag 2.95, 4 Mg 3.01
Ag (0.0000, 0.5000, 0.7412)  2 Mg 2.95, 8 Ag 2.95-3.06, 2 Tm 3.06
Mg (0.0000, 0.0000, 0.5000)  12 Ag 2.95-3.01
Tm (0.0000, 0.0000, 0.0000)  12 Ag 3.01-3.06



Going by the energies, (one) is most stable and the next is 60 meV per atom up.



(one)
Tm3MgAg after structural relaxation. Source: the Alexandria database, functional GGA-PBE.

Values from the calculation:
- space group = Cmcm
- crystal system = orthorhombic

Cell lengths 5.0722, 5.0554, 10.3908 Å; angles 90.00, 75.87, 90.00 degrees
Closest atoms and distances in Å follow each position.
Positions (direct):
Mg (0.1706, 0.2500, 0.3071)  8 Tm 3.14-3.20
Mg (0.4777, 0.7500, 0.6929)  8 Tm 3.14-3.20
Tm (0.5736, 0.2500, 0.5011)  4 Ag 3.09, 4 Mg 3.18-3.20
Tm (0.0747, 0.7500, 0.4989)  4 Ag 3.09, 4 Mg 3.18-3.20
Tm (0.3812, 0.2500, 0.8860)  2 Mg 3.19, 2 Ag 3.30, 4 Tm 3.42-3.49
Tm (0.7623, 0.2500, 0.1237)  2 Mg 3.14, 2 Ag 3.24, 2 Tm 3.49
Tm (0.2672, 0.7500, 0.1140)  2 Mg 3.19, 2 Ag 3.30, 4 Tm 3.42-3.49
Tm (0.8860, 0.7500, 0.8763)  2 Mg 3.14, 2 Ag 3.24, 2 Tm 3.49
Ag (0.6620, 0.7500, 0.3243)  8 Tm 3.09-3.30
Ag (0.9864, 0.2500, 0.6757)  8 Tm 3.09-3.30



(two)
Tm3MgAg after structural relaxation. Source: the Alexandria database, functional GGA-PBE.

Values from the calculation:
- space group = C2/c
- crystal system = monoclinic

Cell lengths 6.6258, 6.6258, 14.5510 Å; angles 84.62, 84.62, 57.25 degrees
Closest atoms and distances in Å follow each position.
Positions (direct):
Ag (0.0000, 0.5000, 0.5000)  6 Tm 2.94-3.18
Ag (0.4071, 0.5929, 0.7500)  2 Mg 2.84, 6 Tm 2.97-3.16
Ag (0.5000, 0.0000, 0.0000)  6 Tm 2.94-3.18
Ag (0.5929, 0.4071, 0.2500)  2 Mg 2.84, 6 Tm 2.97-3.16
Tm (0.0373, 0.6377, 0.2961)  2 Ag 3.05-3.16, 2 Tm 3.40-3.41
Tm (0.3623, 0.9627, 0.2039)  2 Ag 3.05-3.16, 2 Tm 3.40-3.41
Tm (0.9627, 0.3623, 0.7039)  2 Ag 3.05-3.16, 2 Tm 3.40-3.41
Tm (0.1678, 0.9657, 0.8911)  2 Ag 2.94-2.99, 2 Mg 3.17-3.22, 1 Tm 3.30
Tm (0.0343, 0.8322, 0.6089)  2 Ag 2.94-2.99, 2 Mg 3.17-3.22, 1 Tm 3.30
Tm (0.6377, 0.0373, 0.7961)  2 Ag 3.05-3.16, 2 Tm 3.40-3.41
Tm (0.9657, 0.1678, 0.3911)  2 Ag 2.94-2.99, 2 Mg 3.17-3.22, 1 Tm 3.30
Tm (0.8322, 0.0343, 0.1089)  2 Ag 2.94-2.99, 2 Mg 3.17-3.22, 1 Tm 3.30
Tm (0.8752, 0.5084, 0.1038)  2 Ag 2.97-3.18, 1 Mg 3.22, 2 Tm 3.29-3.30
Tm (0.1248, 0.4916, 0.8962)  2 Ag 2.97-3.18, 1 Mg 3.22, 2 Tm 3.29-3.30
Tm (0.4916, 0.1248, 0.3962)  2 Ag 2.97-3.18, 1 Mg 3.22, 2 Tm 3.29-3.30
Tm (0.5084, 0.8752, 0.6038)  2 Ag 2.97-3.18, 1 Mg 3.22, 2 Tm 3.29-3.30
Mg (0.5504, 0.3397, 0.5850)  1 Ag 2.84, 1 Mg 2.98, 1 Tm 3.17
Mg (0.4496, 0.6603, 0.4150)  1 Ag 2.84, 1 Mg 2.98, 1 Tm 3.17
Mg (0.3397, 0.5504, 0.0850)  1 Ag 2.84, 1 Mg 2.98, 1 Tm 3.17
Mg (0.6603, 0.4496, 0.9150)  1 Ag 2.84, 1 Mg 2.98, 1 Tm 3.17



Going by the energies, (one) is most stable and the next is 102 meV per atom up.



(one)
Mg2VAg after structural relaxation. Source: the Alexandria database, functional GGA-PBE.

Values from the calculation:
- space group = Fm-3m
- crystal system = cubic

Cell lengths 4.7012, 4.7012, 4.7012 Å; angles 60.00, 60.00, 60.00 degrees
Closest atoms and distances in Å follow each position.
Positions (direct):
V (0.0000, 0.0000, 0.0000)  8 Mg 2.88
Mg (0.2500, 0.2500, 0.2500)  4 Ag 2.88, 4 V 2.88
Mg (0.7500, 0.7500, 0.7500)  4 Ag 2.88, 4 V 2.88
Ag (0.5000, 0.5000, 0.5000)  8 Mg 2.88



(two)
Mg2VAg after structural relaxation. Source: the Alexandria database, functional GGA-PBE.

Values from the calculation:
- space group = R-3m
- crystal system = trigonal

Cell lengths 2.8939, 2.8939, 10.3979 Å; angles 82.00, 82.00, 60.00 degrees
Closest atoms and distances in Å follow each position.
Positions (direct):
Ag (0.5000, 0.5000, 0.5000)  6 Ag 2.89, 6 Mg 2.93
Mg (0.9114, 0.9114, 0.2657)  1 V 2.73, 6 Mg 2.89, 3 Ag 2.93
Mg (0.0886, 0.0886, 0.7343)  1 V 2.73, 6 Mg 2.89, 3 Ag 2.93
V (0.0000, 0.0000, 0.0000)  2 Mg 2.73, 6 V 2.89



Going by the energies, (one) is most stable and the next is 179 meV per atom up.



(one)
Mg3VAg after structural relaxation. Source: the Alexandria database, functional GGA-PBE.

Values from the calculation:
- space group = Pm-3m
- crystal system = cubic

Cell lengths 5.0218, 5.0218, 5.0218 Å; angles 90.00, 90.00, 90.00 degrees
Closest atoms and distances in Å follow each position.
Positions (direct):
Mg (0.5000, 0.0000, 0.0000)  2 Ag 2.51
Mg (0.0000, 0.0000, 0.5000)  2 Ag 2.51
Mg (0.0000, 0.5000, 0.0000)  2 Ag 2.51
Ag (0.0000, 0.0000, 0.0000)  6 Mg 2.51
V (0.5000, 0.5000, 0.5000)  12 Mg 3.55



(two)
Mg3VAg after structural relaxation. Source: the Alexandria database, functional GGA-PBE.

Values from the calculation:
- space group = Pm-3m
- crystal system = cubic

Cell lengths 5.2044, 5.2044, 5.2044 Å; angles 90.00, 90.00, 90.00 degrees
Closest atoms and distances in Å follow each position.
Positions (direct):
Mg (0.0000, 0.0000, 0.5000)  2 V 2.60
Mg (0.5000, 0.0000, 0.0000)  2 V 2.60
Mg (0.0000, 0.5000, 0.0000)  2 V 2.60
V (0.0000, 0.0000, 0.0000)  6 Mg 2.60
Ag (0.5000, 0.5000, 0.5000)  12 Mg 3.68



Going by the energies, (one) is most stable and the next is 309 meV per atom up.